No. 1
Density functional theory data (GGA-PBE) for a relaxed structure of GeCI.

Cell lengths 9.081, 3.267, 3.270 Å; angles 60.01, 100.07, 100.26 degrees
Atoms (fractional coordinates):
Ge: 0.943 0.452 0.192
C: 0.943 0.119 0.858
I: 0.439 0.520 0.415

Results
Formation energy (no corrections) = 676 meV/atom
Offset from the most stable computed form = 0 kJ/mol of formula units
M_tot = 0.000 Bohr magnetons per cell



No. 2
Density functional theory data (GGA-PBE) for a relaxed structure of ReTe2Mo.

Cell lengths 5.428, 5.699, 3.176 Å; angles 88.11, 74.02, 121.02 degrees
Atoms (fractional coordinates):
Te: 0.000 0.500 0.500
Te: 0.000 0.000 0.000
Mo: 0.500 0.500 0.000
Re: 0.500 0.000 0.500

Results
Formation energy (no corrections) = 1098 meV/atom
Offset from the most stable computed form = 345 kJ/mol of formula units
M_tot = 0.006 Bohr magnetons per cell



No. 3
Density functional theory data (GGA-PBE) for a relaxed structure of EuHfPd2.

Cell lengths 3.382, 3.382, 7.417 Å; angles 90.00, 90.00, 90.00 degrees
Atoms (fractional coordinates):
Hf: 0.500 0.500 0.000
Pd: 0.000 0.000 0.801
Pd: 0.000 0.000 0.199
Eu: 0.500 0.500 0.500

Results
Offset from the most stable computed form = 0 kJ/mol of formula units
DFT formation energy = -678 meV per atom
M_tot = 7.165 Bohr magnetons per cell



No. 4
Density functional theory data (GGA-PBE) for a relaxed structure of KLi2Zn.

Cell lengths 5.848, 6.432, 3.464 Å; angles 75.12, 88.41, 116.56 degrees
Atoms (fractional coordinates):
Li: 0.000 0.000 0.000
Li: 0.500 0.000 0.500
K: 0.500 0.500 0.000
Zn: 0.000 0.500 0.500

Results
DFT formation energy = 228 meV per atom
M_tot = 0.000 Bohr magnetons per cell



No. 5
Density functional theory data (GGA-PBE) for a relaxed structure of ZrTa2IrC.

Cell lengths 5.076, 5.076, 3.797 Å; angles 90.00, 90.00, 90.00 degrees
Atoms (fractional coordinates):
Ta: 0.500 0.000 0.000
Ta: 0.000 0.500 0.000
Ir: 0.000 0.000 0.000
Zr: 0.500 0.500 0.500
C: 0.000 0.000 0.500

Results
DFT formation energy = 1082 meV per atom
M_tot = 0.000 Bohr magnetons per cell



No. 6
Density functional theory data (GGA-PBE) for a relaxed structure of SrLaPdPt.

Cell lengths 4.069, 4.502, 6.118 Å; angles 90.00, 109.42, 90.00 degrees
Atoms (fractional coordinates):
Pd: 0.575 0.500 0.151
La: 0.869 0.500 0.738
Sr: 0.142 0.000 0.283
Pt: 0.414 0.000 0.828

Results
Offset from the most stable computed form = 0 kJ/mol of formula units
DFT formation energy = -883 meV per atom
M_tot = 0.000 Bohr magnetons per cell